Material: ScCrSb2I
Method: DFT, PBE
State: relaxed

Geometry as POSCAR:
```
ScCrSb2I
1.0
5.106 0.000 0.000
0.000 5.106 0.000
0.000 0.000 5.542
Sc Cr Sb I
1 1 2 1
Direct
0.000 0.000 0.000
0.500 0.500 0.500
0.000 0.500 0.500
0.500 0.000 0.500
0.500 0.500 0.000
```

* calculated density: 5.37 g/cm³
* M_tot: 3.4 μB/cell
* E_form (uncorrected): 31.3 kJ per mole of atoms